Density functional theory data (PBE) for a relaxed structure of GaCuTeO6.

Unit cell a=5.114 b=5.114 c=8.731 alpha=90.00 beta=90.00 gamma=120.00
Each line ends with the local moment (μB).
Sites, in units of the cell vectors:
Ga1 0.667 0.333 0.250  0.01
Ga2 0.333 0.667 0.750  0.01
Cu1 0.000 0.000 0.000  0.83
Cu2 0.000 0.000 0.500  0.83
Te1 0.333 0.667 0.250  -0.01
Te2 0.667 0.333 0.750  -0.01
O1 0.649 0.655 0.129  0.18
O2 0.006 0.351 0.129  0.18
O3 0.351 0.006 0.629  0.18
O4 0.994 0.649 0.871  0.18
O5 0.345 0.351 0.371  0.18
O6 0.006 0.655 0.371  0.18
O7 0.655 0.006 0.871  0.18
O8 0.649 0.994 0.371  0.18
O9 0.994 0.345 0.629  0.18
O10 0.345 0.994 0.129  0.18
O11 0.655 0.649 0.629  0.18
O12 0.351 0.345 0.871  0.18

Summary:
Crystal system: trigonal
Energy relative to the elements, uncorrected, eV per atom: -0.91
Total magnetization, μB per formula unit: 2.05